YEr2In3CuPt2 | OQMD | PBE | optimized geometry; space group = No. 38; raw total energy = -47.2 eV/cell
1.0
3.706 0.000 0.000
0.000 6.714 3.864
0.000 -6.714 3.864
Y Er In Cu Pt
1 2 3 1 2
Cartesian
0.000 0.000 0.000
0.000 -2.759 2.972
0.000 2.759 2.972
1.853 0.000 2.583
1.853 -1.716 5.544
1.853 1.716 5.544
0.000 0.000 4.550
1.853 -4.449 4.567
1.853 4.449 4.567